# 1
LiPm2Si3Ni12 after structural relaxation, computed with PBE-GGA.

For the raw formation energy, the calculation gives -153 meV per atom. The volume is 731 Å³/cell.

The space group is R-3m (No. 166, hexagonal axes) and the conventional cell measures 8.4211, 8.4211 and 11.8996 Å, with angles of 90.00, 90.00 and 120.00 degrees. The asymmetric unit holds Li at (0.0000, 0.0000, 0.0000), Pm at (0.0000, 0.0000, 0.3503), Si at (0.0000, 0.5000, 0.5000), Ni at (0.0154, 0.5077, 0.6922) and Ni at (0.0155, 0.5078, 0.8896).



# 2
SrErAg2 after structural relaxation, computed with PBE-GGA.

The calculation puts the relative energy among the computed polymorphs at 0.22 eV per formula unit. The formation energy comes out at -0.236 eV per atom. The volume is 105 Å³/cell.

The space group is P4/mmm (No. 123) and the conventional cell measures 5.354, 5.354 and 3.651 Å, with angles of 90.00, 90.00 and 90.00 degrees. The asymmetric unit holds Sr at (0.000, 0.000, 0.000), Er at (0.500, 0.500, 0.000) and Ag at (0.000, 0.500, 0.500).



# 3
HoNi5Ge after structural relaxation, computed with PBE-GGA.

The formation energy comes out at -0.390 eV per atom. The volume is 375 Å³/cell.

The space group is Pnma (No. 62) and the conventional cell measures 7.829, 4.870 and 9.832 Å, with angles of 90.00, 90.00 and 90.00 degrees. The asymmetric unit holds Ho at (0.247, 0.250, 0.058), Ni at (0.061, 0.750, 0.086), Ni at (0.063, 0.006, 0.303), Ni at (0.095, 0.250, 0.518), Ni at (0.186, 0.250, 0.756) and Ge at (0.150, 0.750, 0.855).